[1]
The following is a DFT calculation (PBE) of a relaxed Al5Ge2Pd12 crystal.

Its density of states at the Fermi level is 0.3071 states/eV per atom. As for the formation energy: -11.57 kcal/mol of atoms. The value obtained for the calculated volume is 318 Å³ per cell. For the total magnetization, the calculation gives 0.00 μB/f.u. Its space group is C2/m. For the raw total energy, the calculation gives -5.252 eV per atom.

Lattice parameters (Å, degrees): 5.6480 7.7802 8.1289 106.01 90.00 111.28
Element x y z (fractional)
Al 0.2913 0.5825 0.6118
Al 0.3380 0.6760 0.1441
Al 0.0000 0.0000 0.5000
Al 0.6620 0.3240 0.8559
Al 0.7087 0.4175 0.3882
Ge 0.7512 0.0000 0.0000
Ge 0.2488 0.0000 0.0000
Pd 0.0755 0.1510 0.2701
Pd 0.0626 0.6233 0.8853
Pd 0.5607 0.6233 0.8853
Pd 0.1085 0.7092 0.4077
Pd 0.6007 0.7092 0.4077
Pd 0.4816 0.9631 0.7182
Pd 0.5184 0.0369 0.2818
Pd 0.8915 0.2908 0.5923
Pd 0.3993 0.2908 0.5923
Pd 0.9374 0.3767 0.1147
Pd 0.4393 0.3767 0.1147
Pd 0.9245 0.8490 0.7299

---

[2]
The following is a DFT calculation (PBE) of a relaxed Al2GePd6 crystal.

Its density of states at the Fermi level is 0.4461 states/eV per atom. As for the formation energy: -14.83 kcal/mol of atoms. The value obtained for the calculated volume is 269 Å³ per cell. For the total magnetization, the calculation gives 0.00 μB/f.u. Its space group is P4_2/mnm. For the raw total energy, the calculation gives -5.450 eV per atom.

Lattice parameters (Å, degrees): 4.1689 8.0272 8.0282 90.00 90.00 90.00
Element x y z (fractional)
Al 0.0000 0.2949 0.7947
Al 0.5000 0.7949 0.7053
Al 0.5000 0.2051 0.2947
Al 0.0000 0.7051 0.2053
Ge 0.5000 0.5000 0.0000
Ge 0.0000 0.0000 0.5000
Pd 0.0000 0.0271 0.1794
Pd 0.0000 0.6794 0.5272
Pd 0.0000 0.6256 0.8745
Pd 0.5000 0.1256 0.6255
Pd 0.5000 0.1794 0.9728
Pd 0.5000 0.5271 0.3206
Pd 0.0000 0.9729 0.8206
Pd 0.0000 0.3206 0.4728
Pd 0.0000 0.3744 0.1255
Pd 0.5000 0.8744 0.3745
Pd 0.5000 0.8206 0.0272
Pd 0.5000 0.4729 0.6794

---

[3]
The following is a DFT calculation (PBE) of a relaxed Al2GePd5 crystal.

Its density of states at the Fermi level is 0.4683 states/eV per atom. As for the formation energy: -16.20 kcal/mol of atoms. The value obtained for the calculated volume is 239 Å³ per cell. For the total magnetization, the calculation gives 0.00 μB/f.u. Its space group is Pbam. For the raw total energy, the calculation gives -5.461 eV per atom.

Lattice parameters (Å, degrees): 4.1073 5.4995 10.5841 90.00 90.00 90.00
Element x y z (fractional)
Al 0.5000 0.3621 0.3506
Al 0.5000 0.6379 0.6494
Al 0.5000 0.1379 0.8506
Al 0.5000 0.8621 0.1494
Ge 0.0000 0.0000 0.5000
Ge 0.0000 0.5000 0.0000
Pd 0.5000 0.3166 0.1027
Pd 0.5000 0.6834 0.8973
Pd 0.5000 0.8166 0.3973
Pd 0.5000 0.1834 0.6027
Pd 0.0000 0.8864 0.7275
Pd 0.0000 0.1136 0.2725
Pd 0.0000 0.3864 0.7725
Pd 0.0000 0.6136 0.2275
Pd 0.0000 0.5000 0.5000
Pd 0.0000 0.0000 0.0000

---

[4]
The following is a DFT calculation (PBE) of a relaxed Al2Ge2Pd crystal.

Its density of states at the Fermi level is 0.4559 states/eV per atom. As for the formation energy: -0.60 kcal/mol of atoms. The value obtained for the calculated volume is 178 Å³ per cell. For the total magnetization, the calculation gives 0.00 μB/f.u. Its space group is P4/mbm. For the raw total energy, the calculation gives -4.408 eV per atom.

Lattice parameters (Å, degrees): 6.6652 6.6652 4.0129 90.00 90.00 90.00
Element x y z (fractional)
Ge 0.1593 0.6593 0.5000
Ge 0.6593 0.8407 0.5000
Ge 0.8407 0.3407 0.5000
Ge 0.3407 0.1593 0.5000
Al 0.3557 0.8557 0.0000
Al 0.8557 0.6443 0.0000
Al 0.6443 0.1443 0.0000
Al 0.1443 0.3557 0.0000
Pd 0.0000 0.0000 0.0000
Pd 0.5000 0.5000 0.0000

---

[5]
The following is a DFT calculation (PBE) of a relaxed Al3GePd4 crystal.

Its density of states at the Fermi level is 0.2206 states/eV per atom. As for the formation energy: -17.91 kcal/mol of atoms. The value obtained for the calculated volume is 120 Å³ per cell. For the total magnetization, the calculation gives 0.00 μB/f.u. Its space group is R3. For the raw total energy, the calculation gives -5.354 eV per atom.

Lattice parameters (Å, degrees): 4.9286 4.9286 4.9286 90.31 90.31 90.31
Element x y z (fractional)
Al 0.1574 0.8491 0.3407
Al 0.3407 0.1574 0.8491
Al 0.8491 0.3407 0.1574
Ge 0.6548 0.6548 0.6548
Pd 0.3513 0.3513 0.3513
Pd 0.8526 0.1447 0.6483
Pd 0.6483 0.8526 0.1447
Pd 0.1447 0.6483 0.8526

---

[6]
The following is a DFT calculation (PBE) of a relaxed AlGePd2 crystal.

Its density of states at the Fermi level is 0.4165 states/eV per atom. As for the formation energy: -10.77 kcal/mol of atoms. The value obtained for the calculated volume is 67 Å³ per cell. For the total magnetization, the calculation gives 0.00 μB/f.u. Its space group is R3m. For the raw total energy, the calculation gives -5.153 eV per atom.

Lattice parameters (Å, degrees): 4.1150 4.1150 5.1686 66.54 66.54 60.00
Element x y z (fractional)
Al 0.6753 0.6753 0.9742
Ge 0.4832 0.4832 0.5503
Pd 0.0702 0.0702 0.7895
Pd 0.2713 0.2713 0.1860

---

[7]
The following is a DFT calculation (PBE) of a relaxed Al2Ge2Pd crystal.

Its density of states at the Fermi level is 0.3826 states/eV per atom. As for the formation energy: -0.26 kcal/mol of atoms. The value obtained for the calculated volume is 178 Å³ per cell. For the total magnetization, the calculation gives 0.00 μB/f.u. Its space group is P4/mbm. For the raw total energy, the calculation gives -4.394 eV per atom.

Lattice parameters (Å, degrees): 6.5541 6.5541 4.1506 90.00 90.00 90.00
Element x y z (fractional)
Ge 0.3593 0.8593 0.0000
Ge 0.8593 0.6407 0.0000
Ge 0.6407 0.1407 0.0000
Ge 0.1407 0.3593 0.0000
Al 0.1704 0.6704 0.5000
Al 0.6704 0.8296 0.5000
Al 0.8296 0.3296 0.5000
Al 0.3296 0.1704 0.5000
Pd 0.0000 0.0000 0.0000
Pd 0.5000 0.5000 0.0000

---

[8]
The following is a DFT calculation (PBE) of a relaxed Al3GePd crystal.

Its density of states at the Fermi level is 0.6068 states/eV per atom. As for the formation energy: 3.06 kcal/mol of atoms. The value obtained for the calculated volume is 106 Å³ per cell. For the total magnetization, the calculation gives 0.00 μB/f.u. Its space group is Pm-3m. For the raw total energy, the calculation gives -4.075 eV per atom.

Lattice parameters (Å, degrees): 4.7258 4.7258 4.7258 90.00 90.00 90.00
Element x y z (fractional)
Ge 0.5000 0.5000 0.5000
Al 0.0000 0.5000 0.0000
Al 0.0000 0.0000 0.5000
Al 0.5000 0.0000 0.0000
Pd 0.0000 0.0000 0.0000

---

> Among the records above, which one has the highest raw total energy?

Al3GePd

---

> Look up the calculated volume of the fourth one.

178 Å³ per cell